[1]
MgAlZn2 | GGA-PBEsol | relaxed

Cell lengths 2.982, 3.838, 5.719 Å; angles 90.00, 90.00, 90.00 degrees
Atoms (fractional coordinates):
Mg (0.000, 0.000, 0.000)
Al (0.000, 0.000, 0.500)
Zn (0.500, 0.500, 0.264)
Zn (0.500, 0.500, 0.736)

Computed properties:
- calculated total energy (eV/atom) = -2.248
- ΔE_f (meV per atom) = -5



[2]
ScBNO2 | GGA-PBEsol | relaxed

Cell lengths 4.013, 4.013, 4.302 Å; angles 90.00, 90.00, 90.00 degrees
Atoms (fractional coordinates):
Sc (0.000, 0.000, 0.000)
B (0.500, 0.500, 0.500)
N (0.000, 0.000, 0.500)
O (0.000, 0.500, 0.000)
O (0.500, 0.000, 0.000)

Computed properties:
- calculated total energy (eV/atom) = -6.098
- formation energy (no corrections) (eV/f.u.) = 2.16



[3]
EuSi2Pt | GGA-PBEsol | relaxed

Cell lengths 8.672, 8.672, 4.153 Å; angles 90.00, 90.00, 151.51 degrees
Atoms (fractional coordinates):
Eu (0.105, 0.895, 0.750)
Eu (0.895, 0.105, 0.250)
Si (0.249, 0.751, 0.250)
Si (0.463, 0.537, 0.750)
Si (0.537, 0.463, 0.250)
Si (0.751, 0.249, 0.750)
Pt (0.321, 0.679, 0.750)
Pt (0.679, 0.321, 0.250)

Computed properties:
- calculated total energy (eV/atom) = -8.208
- formation energy (no corrections) (eV/f.u.) = -3.81



[4]
Li2FeTc | GGA-PBEsol | relaxed

Cell lengths 3.309, 3.309, 4.432 Å; angles 90.00, 90.00, 90.00 degrees
Atoms (fractional coordinates):
Li (0.000, 0.500, 0.000)
Li (0.500, 0.000, 0.000)
Fe (0.000, 0.000, 0.500)
Tc (0.500, 0.500, 0.500)

Computed properties:
- calculated total energy (eV/atom) = -5.665
- ΔE_f (meV per atom) = 376



[5]
BeSiRu2 | GGA-PBEsol | relaxed

Cell lengths 3.798, 4.489, 4.489 Å; angles 37.53, 90.00, 90.00 degrees
Atoms (fractional coordinates):
Be (0.000, 0.000, 0.000)
Si (0.500, 0.170, 0.170)
Ru (0.000, 0.727, 0.727)
Ru (0.500, 0.448, 0.448)

Computed properties:
- calculated total energy (eV/atom) = -8.004
- formation energy (no corrections) (eV/f.u.) = -1.92



[6]
GaFeTeN2 | GGA-PBEsol | relaxed

Cell lengths 3.691, 3.691, 5.302 Å; angles 90.00, 90.00, 90.00 degrees
Atoms (fractional coordinates):
Ga (0.000, 0.000, 0.000)
Fe (0.500, 0.500, 0.500)
Te (0.500, 0.500, 0.000)
N (0.000, 0.500, 0.500)
N (0.500, 0.000, 0.500)

Computed properties:
- calculated total energy (eV/atom) = -5.860
- formation energy (no corrections) (eV/f.u.) = 3.58



[7]
Sc2CoNi | GGA-PBEsol | relaxed

Cell lengths 3.091, 3.091, 6.213 Å; angles 90.00, 90.00, 90.00 degrees
Atoms (fractional coordinates):
Sc (0.000, 0.000, 0.246)
Sc (0.000, 0.000, 0.754)
Co (0.500, 0.500, 0.000)
Ni (0.500, 0.500, 0.500)

Computed properties:
- calculated total energy (eV/atom) = -7.205
- ΔE_f (meV per atom) = -428



[8]
Zr2CoIr | GGA-PBEsol | relaxed

Cell lengths 4.163, 5.145, 5.145 Å; angles 38.02, 90.00, 90.00 degrees
Atoms (fractional coordinates):
Zr (0.000, 0.000, 0.000)
Zr (0.500, 0.287, 0.287)
Co (0.500, 0.551, 0.551)
Ir (0.000, 0.724, 0.724)

Computed properties:
- calculated total energy (eV/atom) = -9.513
- ΔE_f (meV per atom) = -578



[9]
Mg2TlSb | GGA-PBEsol | relaxed

Cell lengths 9.175, 9.175, 9.175 Å; angles 22.08, 22.08, 22.08 degrees
Atoms (fractional coordinates):
Mg (0.249, 0.249, 0.249)
Mg (0.751, 0.751, 0.751)
Tl (0.500, 0.500, 0.500)
Sb (0.000, 0.000, 0.000)

Computed properties:
- calculated total energy (eV/atom) = -2.766
- formation energy (no corrections) (eV/f.u.) = -0.44



[10]
CrAg2Pt | GGA-PBEsol | relaxed

Cell lengths 2.809, 2.809, 7.919 Å; angles 90.00, 90.00, 90.00 degrees
Atoms (fractional coordinates):
Cr (0.000, 0.000, 0.000)
Ag (0.500, 0.500, 0.247)
Ag (0.500, 0.500, 0.753)
Pt (0.000, 0.000, 0.500)

Computed properties:
- calculated total energy (eV/atom) = -5.568
- ΔE_f (meV per atom) = 389



[11]
Ag2SnPbI | GGA-PBEsol | relaxed

Cell lengths 5.262, 5.262, 5.767 Å; angles 90.00, 90.00, 90.00 degrees
Atoms (fractional coordinates):
Ag (0.000, 0.500, 0.000)
Ag (0.500, 0.000, 0.000)
Sn (0.000, 0.000, 0.500)
Pb (0.000, 0.000, 0.000)
I (0.500, 0.500, 0.500)

Computed properties:
- calculated total energy (eV/atom) = -2.840
- formation energy (no corrections) (eV/f.u.) = 2.45



[12]
ScTiGe3 | GGA-PBEsol | relaxed

Cell lengths 4.753, 4.753, 4.753 Å; angles 90.00, 90.00, 90.00 degrees
Atoms (fractional coordinates):
Sc (0.000, 0.000, 0.000)
Ti (0.500, 0.500, 0.500)
Ge (0.000, 0.500, 0.500)
Ge (0.500, 0.000, 0.500)
Ge (0.500, 0.500, 0.000)

Computed properties:
- calculated total energy (eV/atom) = -5.873
- ΔE_f (meV per atom) = 76



Number 1: N(E_F) 1.33 states/eV/cell. Number 2: N(E_F) 2.41 states/eV/cell. Number 3: N(E_F) 17.87 states/eV/cell. Number 4: N(E_F) 3.39 states/eV/cell. Number 5: N(E_F) 2.50 states/eV/cell. Number 6: N(E_F) 3.15 states/eV/cell. Number 7: N(E_F) 2.86 states/eV/cell. Number 8: N(E_F) 3.54 states/eV/cell. Number 9: N(E_F) 1.20 states/eV/cell. Number 10: N(E_F) 5.39 states/eV/cell. Number 11: N(E_F) 1.93 states/eV/cell. Number 12: N(E_F) 4.30 states/eV/cell.